Run 1
# La2CuBr, relaxed, DFT GGA-PBEsol
data_La2CuBr
_symmetry_space_group_name_H-M 'R -3 m'
_symmetry_Int_Tables_number 166
_symmetry_space_group_name_Hall '-R 3 2"'
_cell_length_a 4.2383
_cell_length_b 4.2383
_cell_length_c 21.1700
_cell_angle_alpha 90.00
_cell_angle_beta 90.00
_cell_angle_gamma 120.00
loop_
_atom_site_label
_atom_site_fract_x
_atom_site_fract_y
_atom_site_fract_z
La1 0.0000 0.0000 0.2448
Cu1 0.0000 0.0000 0.5000
Br1 0.0000 0.0000 0.0000
# M_tot	0.0000	μB/atom
# crystal system	trigonal

Run 2
# La2CuBr, relaxed, DFT GGA-PBEsol
data_La2CuBr
_symmetry_space_group_name_H-M 'P 4/m m m'
_symmetry_Int_Tables_number 123
_symmetry_space_group_name_Hall '-P 4 2'
_cell_length_a 4.198
_cell_length_b 4.198
_cell_length_c 6.094
_cell_angle_alpha 90.00
_cell_angle_beta 90.00
_cell_angle_gamma 90.00
loop_
_atom_site_label
_atom_site_fract_x
_atom_site_fract_y
_atom_site_fract_z
La1 0.000 0.000 0.000
La2 0.500 0.500 0.500
Cu1 0.000 0.000 0.500
Br1 0.500 0.500 0.000
# M_tot	0.0000	μB/atom
# crystal system	tetragonal

Relative to the most stable one, in kJ/mol of atoms, the structures come out at run 1 4.1; run 2 0.0.

Run 1
# Li2CuBr, relaxed, DFT GGA-PBEsol
data_Li2CuBr
_symmetry_space_group_name_H-M 'P 1 2/m 1'
_symmetry_Int_Tables_number 10
_cell_length_a 3.265
_cell_length_b 3.264
_cell_length_c 6.107
_cell_angle_alpha 90.00
_cell_angle_beta 90.09
_cell_angle_gamma 90.00
loop_
_symmetry_equiv_pos_as_xyz
'x,y,z'
'-x,-y,-z'
'-x,y,-z'
'x,-y,z'
loop_
_atom_site_label
_atom_site_fract_x
_atom_site_fract_y
_atom_site_fract_z
Li1 0.000 0.000 0.244
Cu1 0.500 0.500 0.000
Br1 0.500 0.500 0.500
# M_tot	0.0000	μB/atom
# crystal system	monoclinic

Run 2
# Li2CuBr, relaxed, DFT GGA-PBEsol
data_Li2CuBr
_symmetry_space_group_name_H-M 'F -4 3 m'
_symmetry_Int_Tables_number 216
_symmetry_space_group_name_Hall 'F -4 2 3'
_cell_length_a 6.566
_cell_length_b 6.566
_cell_length_c 6.566
_cell_angle_alpha 90.00
_cell_angle_beta 90.00
_cell_angle_gamma 90.00
loop_
_atom_site_label
_atom_site_fract_x
_atom_site_fract_y
_atom_site_fract_z
Li1 0.000 0.000 0.000
Li2 0.250 0.250 0.250
Cu1 0.250 0.250 0.750
Br1 0.000 0.000 0.500
# M_tot	0.0000	μB/atom
# crystal system	cubic

Relative to the most stable one, in kJ/mol of atoms, the structures come out at run 1 0.0; run 2 36.7.

Run 1
# LiCuBr2, relaxed, DFT GGA-PBEsol
data_LiCuBr2
_symmetry_space_group_name_H-M 'I -4 2 d'
_symmetry_Int_Tables_number 122
_symmetry_space_group_name_Hall 'I -4 2bw'
_cell_length_a 5.683
_cell_length_b 5.683
_cell_length_c 11.375
_cell_angle_alpha 90.00
_cell_angle_beta 90.00
_cell_angle_gamma 90.00
loop_
_atom_site_label
_atom_site_fract_x
_atom_site_fract_y
_atom_site_fract_z
Li1 0.000 0.000 0.000
Cu1 0.000 0.000 0.500
Br1 0.237 0.250 0.625
# M_tot	0.0001	μB/atom
# crystal system	tetragonal

Run 2
# LiCuBr2, relaxed, DFT GGA-PBEsol
data_LiCuBr2
_symmetry_space_group_name_H-M 'R -3 m'
_symmetry_Int_Tables_number 166
_symmetry_space_group_name_Hall '-R 3 2"'
_cell_length_a 3.9546
_cell_length_b 3.9546
_cell_length_c 21.7657
_cell_angle_alpha 90.00
_cell_angle_beta 90.00
_cell_angle_gamma 120.00
loop_
_atom_site_label
_atom_site_fract_x
_atom_site_fract_y
_atom_site_fract_z
Li1 0.0000 0.0000 0.0000
Cu1 0.0000 0.0000 0.5000
Br1 0.0000 0.0000 0.3982
# M_tot	0.0096	μB/atom
# crystal system	trigonal

Relative to the most stable one, in kJ/mol of atoms, the structures come out at run 1 0.0; run 2 8.3.